LiV3Zn2O8 at its PBEsol-relaxed geometry. Source: the Alexandria database, functional SCAN.

Total moment (Bohr magnetons per cell): 4.09
Electronic total energy (eV/atom): -11.74

Cell and atoms, written as extended XYZ:
```
28
Lattice="5.9475 -0.0171 -0.2200 0.0158 5.6757 -0.0033 -0.2358 0.0059 8.2222" Properties=species:S:1:pos:R:3 pbc="T T T"
V 4.4934 2.8257 0.9671
V 5.8237 4.1393 2.8229
V 1.4128 5.6749 5.1888
V 2.7302 4.3571 7.0420
V 2.7217 1.3120 7.0438
V 5.8164 1.5069 2.8246
Zn 2.8008 2.8326 4.0444
Zn 2.8657 5.6686 1.9884
Zn 5.7120 2.8252 5.9914
Zn 5.8819 -0.0165 -0.1730
O 5.8748 4.1264 0.9262
O 0.0107 1.3386 4.9686
O 4.3539 2.8272 2.9358
O 5.8676 1.5175 0.9277
O 1.2549 -0.0016 3.1318
O 3.1097 4.1647 0.7461
O 4.0840 -0.0071 6.9890
O 2.7848 4.3660 5.1457
O 3.1023 1.4940 0.7476
O 1.5256 2.8379 7.0862
O 1.2380 2.8363 2.9852
O 4.1169 2.8307 7.1311
O 1.2669 5.6765 7.1564
O 0.0192 4.3431 4.9669
O 4.6266 5.6643 2.8635
O 2.7760 1.3006 5.1476
Li 4.3882 -0.0093 4.9212
Li 1.5389 2.8340 0.9178
```

KLa2HfTa at its PBEsol-relaxed geometry. Source: the Alexandria database, functional SCAN.

Crystal system: tetragonal
Total moment (Bohr magnetons per cell): 3.60
Symmetry: P4/mmm (123)
Electronic total energy (eV/atom): -43.00

Cell and atoms, written as extended XYZ:
```
5
Lattice="5.6024 0.0000 0.0000 0.0000 5.6024 0.0000 0.0000 0.0000 5.5886" Properties=species:S:1:pos:R:3 pbc="T T T"
K 0.0000 0.0000 0.0000
La 0.0000 2.8012 2.7943
La 2.8012 0.0000 2.7943
Hf 0.0000 0.0000 2.7943
Ta 2.8012 2.8012 0.0000
```

SrSiW at its PBEsol-relaxed geometry. Source: the Alexandria database, functional SCAN.

Crystal system: trigonal
Total moment (Bohr magnetons per cell): 0.00
Symmetry: P3m1 (156)
Electronic total energy (eV/atom): -33.24

Cell and atoms, written as extended XYZ:
```
3
Lattice="3.4309 0.0000 0.0000 -1.7155 2.9713 0.0000 0.0000 0.0000 6.3513" Properties=species:S:1:pos:R:3 pbc="T T T"
Sr 0.0000 0.0000 0.0000
Si 1.7155 0.9904 2.3612
W 0.0000 1.9809 3.7763
```

MoIrS2 at its PBEsol-relaxed geometry. Source: the Alexandria database, functional SCAN.

Crystal system: trigonal
Total moment (Bohr magnetons per cell): 0.00
Symmetry: R-3m (166)
Electronic total energy (eV/atom): -31.02

Cell and atoms, written as extended XYZ:
```
4
Lattice="1.6048 0.9265 7.4789 -1.6048 0.9265 7.4789 0.0000 -1.8531 7.4789" Properties=species:S:1:pos:R:3 pbc="T T T"
Mo 0.0000 0.0000 0.0000
Ir 0.0000 0.0000 11.2184
S 0.0000 0.0000 2.2981
S 0.0000 0.0000 20.1387
```

AlTcAu2 at its PBEsol-relaxed geometry. Source: the Alexandria database, functional SCAN.

Crystal system: tetragonal
Total moment (Bohr magnetons per cell): 1.93
Symmetry: I-4m2 (119)
Electronic total energy (eV/atom): -45.29

Cell and atoms, written as extended XYZ:
```
4
Lattice="-2.0251 2.0251 3.7901 2.0251 -2.0251 3.7901 2.0251 2.0251 -3.7901" Properties=species:S:1:pos:R:3 pbc="T T T"
Al 0.0000 0.0000 0.0000
Tc 2.0251 0.0000 1.8951
Au 0.0000 0.0000 3.7901
Au 0.0000 2.0251 1.8951
```

RbB3Pt at its PBEsol-relaxed geometry. Source: the Alexandria database, functional SCAN.

Crystal system: cubic
Total moment (Bohr magnetons per cell): 0.00
Symmetry: Pm-3m (221)
Electronic total energy (eV/atom): -18.77

Cell and atoms, written as extended XYZ:
```
5
Lattice="4.2156 0.0000 0.0000 0.0000 4.2156 0.0000 0.0000 0.0000 4.2156" Properties=species:S:1:pos:R:3 pbc="T T T"
Rb 0.0000 0.0000 0.0000
B 0.0000 0.0000 2.1078
B 0.0000 2.1078 0.0000
B 2.1078 0.0000 0.0000
Pt 2.1078 2.1078 2.1078
```

K2TaB at its PBEsol-relaxed geometry. Source: the Alexandria database, functional SCAN.

Crystal system: tetragonal
Total moment (Bohr magnetons per cell): 2.30
Symmetry: I-42d (122)
Electronic total energy (eV/atom): -21.39

Cell and atoms, written as extended XYZ:
```
8
Lattice="-6.2164 6.2164 2.0938 6.2164 -6.2164 2.0938 6.2164 6.2164 -2.0938" Properties=species:S:1:pos:R:3 pbc="T T T"
K -0.5935 3.1082 0.5235
K 3.1082 5.6229 1.5704
K 0.5935 9.3245 0.5235
K -3.1082 6.8098 1.5704
Ta 6.2164 0.0000 1.0469
Ta 0.0000 0.0000 2.0938
B 0.0000 0.0000 0.0000
B 0.0000 6.2164 1.0469
```

InSbAs at its PBEsol-relaxed geometry. Source: the Alexandria database, functional SCAN.

Crystal system: trigonal
Total moment (Bohr magnetons per cell): 0.00
Symmetry: P3m1 (156)
Electronic total energy (eV/atom): -30.24

Cell and atoms, written as extended XYZ:
```
3
Lattice="3.9820 0.0000 0.0000 -1.9910 3.4485 0.0000 0.0000 0.0000 5.4641" Properties=species:S:1:pos:R:3 pbc="T T T"
In 0.0000 0.0000 0.0000
Sb 0.0000 2.2990 3.3779
As 1.9910 1.1495 1.7256
```